Entry 1:
# Cu7Ag3

A geometry-optimized Cu7Ag3 structure (PBE, OQMD).

Results
- energy (eV per atom) = -3.382
- energy above the most stable polymorph in this dataset (eV per formula unit) = 0.229
- formation energy from the elements (eV/atom) = 0.07

Structure (CIF):
```
data_Cu7Ag3
_space_group_name_H-M_alt 'C 1 m 1'
_space_group_IT_number 8
_space_group_name_Hall 'C -2y'
_cell_length_a 10.7958
_cell_length_b 2.7703
_cell_length_c 9.2227
_cell_angle_alpha 90.00
_cell_angle_beta 97.31
_cell_angle_gamma 90.00
loop_
_atom_site_label
_atom_site_fract_x
_atom_site_fract_y
_atom_site_fract_z
Cu1 0.0000 0.0000 0.0000
Cu2 0.0033 0.5000 0.5390
Cu3 0.0871 0.5000 0.8101
Cu4 0.1158 0.0000 0.3713
Cu5 0.2010 0.0000 0.6333
Cu6 0.3093 0.5000 0.4472
Cu7 0.3980 0.5000 0.7175
Ag1 0.1859 0.5000 0.1496
Ag2 0.2912 0.0000 0.9225
Ag3 0.4203 0.0000 0.2337
```

=====

Entry 2:
# LuSiTcNi

A geometry-optimized LuSiTcNi structure (PBE, OQMD).

Results
- energy (eV per atom) = -6.230
- energy above the most stable polymorph in this dataset (eV per formula unit) = 2.188

Structure (CIF):
```
data_LuSiTcNi
_space_group_name_H-M_alt 'F -4 3 m'
_space_group_IT_number 216
_space_group_name_Hall 'F -4 2 3'
_cell_length_a 6.3440
_cell_length_b 6.3440
_cell_length_c 6.3440
_cell_angle_alpha 90.00
_cell_angle_beta 90.00
_cell_angle_gamma 90.00
loop_
_atom_site_label
_atom_site_fract_x
_atom_site_fract_y
_atom_site_fract_z
Lu1 0.0000 0.0000 0.0000
Si1 0.2500 0.2500 0.2500
Tc1 0.2500 0.2500 0.7500
Ni1 0.0000 0.0000 0.5000
```

=====

Entry 3:
# NaFe2

A geometry-optimized NaFe2 structure (PBE, OQMD).

Results
- energy (eV per atom) = -4.318

Structure (CIF):
```
data_NaFe2
_space_group_name_H-M_alt 'P 42/m n m'
_space_group_IT_number 136
_space_group_name_Hall '-P 4n 2n'
_cell_length_a 4.8475
_cell_length_b 4.8475
_cell_length_c 5.0282
_cell_angle_alpha 90.00
_cell_angle_beta 90.00
_cell_angle_gamma 90.00
loop_
_atom_site_label
_atom_site_fract_x
_atom_site_fract_y
_atom_site_fract_z
Na1 0.0000 0.0000 0.0000
Fe1 0.1519 0.1519 0.5000
```

=====

Entry 4:
# KRbTe2Au2

A geometry-optimized KRbTe2Au2 structure (PBE, OQMD).

Results
- energy (eV per atom) = -3.149

Structure (CIF):
```
data_KRbTe2Au2
_space_group_name_H-M_alt 'A m m 2'
_space_group_IT_number 38
_space_group_name_Hall 'A 2 -2'
_cell_length_a 7.5887
_cell_length_b 7.1778
_cell_length_c 8.6088
_cell_angle_alpha 90.00
_cell_angle_beta 90.00
_cell_angle_gamma 90.00
loop_
_atom_site_label
_atom_site_fract_x
_atom_site_fract_y
_atom_site_fract_z
K1 0.0000 0.0000 0.0000
Rb1 0.5000 0.0000 0.2988
Te1 0.0000 0.0000 0.4448
Te2 0.5000 0.0000 0.8640
Au1 0.2493 0.0000 0.6551
```

=====

Entry 5:
# Cs2HgPtBr6

A geometry-optimized Cs2HgPtBr6 structure (PBE, OQMD).

Results
- energy (eV per atom) = -2.741

Structure (CIF):
```
data_Cs2HgPtBr6
_space_group_name_H-M_alt 'F m -3 m'
_space_group_IT_number 225
_space_group_name_Hall '-F 4 2 3'
_cell_length_a 11.0637
_cell_length_b 11.0637
_cell_length_c 11.0637
_cell_angle_alpha 90.00
_cell_angle_beta 90.00
_cell_angle_gamma 90.00
loop_
_atom_site_label
_atom_site_fract_x
_atom_site_fract_y
_atom_site_fract_z
Cs1 0.2500 0.2500 0.2500
Hg1 0.0000 0.0000 0.0000
Pt1 0.0000 0.0000 0.5000
Br1 0.0000 0.0000 0.2699
```

=====

Entry 6:
# PmBiN2O

A geometry-optimized PmBiN2O structure (PBE, OQMD).

Results
- energy (eV per atom) = -6.614

Structure (CIF):
```
data_PmBiN2O
_space_group_name_H-M_alt 'P 63 c m'
_space_group_IT_number 185
_space_group_name_Hall 'P 6c -2'
_cell_length_a 6.7982
_cell_length_b 6.7982
_cell_length_c 12.2893
_cell_angle_alpha 90.00
_cell_angle_beta 90.00
_cell_angle_gamma 120.00
loop_
_atom_site_label
_atom_site_fract_x
_atom_site_fract_y
_atom_site_fract_z
Pm1 0.0000 0.0000 0.0000
Pm2 0.3333 0.6667 0.4692
Bi1 0.0000 0.3335 0.2332
N1 0.0000 0.3121 0.3990
N2 0.0000 0.3561 0.0682
O1 0.0000 0.0000 0.2057
O2 0.3333 0.6667 0.2581
```

=====

Entry 7:
# ScNiHgGe

A geometry-optimized ScNiHgGe structure (PBE, OQMD).

Results
- energy (eV per atom) = -4.346
- energy above the most stable polymorph in this dataset (eV per formula unit) = 0.372

Structure (CIF):
```
data_ScNiHgGe
_space_group_name_H-M_alt 'F -4 3 m'
_space_group_IT_number 216
_space_group_name_Hall 'F -4 2 3'
_cell_length_a 6.5524
_cell_length_b 6.5524
_cell_length_c 6.5524
_cell_angle_alpha 90.00
_cell_angle_beta 90.00
_cell_angle_gamma 90.00
loop_
_atom_site_label
_atom_site_fract_x
_atom_site_fract_y
_atom_site_fract_z
Sc1 0.0000 0.0000 0.0000
Ni1 0.2500 0.2500 0.7500
Hg1 0.2500 0.2500 0.2500
Ge1 0.0000 0.0000 0.5000
```

=====

Entry 8:
# NbNiMo2

A geometry-optimized NbNiMo2 structure (PBE, OQMD).

Results
- energy (eV per atom) = -9.243
- formation energy from the elements (eV/atom) = 0.10

Structure (CIF):
```
data_NbNiMo2
_space_group_name_H-M_alt 'F -4 3 m'
_space_group_IT_number 216
_space_group_name_Hall 'F -4 2 3'
_cell_length_a 6.2470
_cell_length_b 6.2470
_cell_length_c 6.2470
_cell_angle_alpha 90.00
_cell_angle_beta 90.00
_cell_angle_gamma 90.00
loop_
_atom_site_label
_atom_site_fract_x
_atom_site_fract_y
_atom_site_fract_z
Nb1 0.0000 0.0000 0.0000
Ni1 0.2500 0.2500 0.7500
Mo1 0.0000 0.0000 0.5000
Mo2 0.2500 0.2500 0.2500
```